1.
A plane-wave DFT calculation with PBE was carried out for a geometry-optimized RbMnGe2I8 structure.

Output
Formation energy from raw total energies ... -480 meV per atom
VASP energy ... -0.230 Ry/atom
DOS at the Fermi energy ... 0.279 states/eV per cell
Magnetization ... 4.0 μB per formula unit

a = 6.768 Å, b = 8.400 Å, c = 10.647 Å
α = 78.43°, β = 83.23°, γ = 66.90°
Space group P-1 (No. 2)
Symmetry-distinct sites (fractional):
1 Rb 0.000 0.000 0.000
2 Mn 0.000 0.000 0.500
3 Ge 0.439 0.302 0.689
4 I 0.066 0.256 0.660
5 I 0.261 0.060 0.301
6 I 0.323 0.724 0.611
7 I 0.397 0.292 0.948



2.
A plane-wave DFT calculation with PBE was carried out for a geometry-optimized MnGeSb2I structure.

Output
Formation energy from raw total energies ... 568 meV per atom
VASP energy ... -0.305 Ry/atom
Energy above the most stable polymorph in this dataset ... 0 meV per atom
DOS at the Fermi energy ... 4.457 states/eV per cell
Magnetization ... 3.1 μB per formula unit

a = 5.036 Å, b = 5.036 Å, c = 5.711 Å
α = 90.00°, β = 90.00°, γ = 90.00°
Space group P4/mmm (No. 123)
Symmetry-distinct sites (fractional):
1 Mn 0.000 0.000 0.000
2 Ge 0.500 0.500 0.500
3 Sb 0.000 0.500 0.000
4 I 0.000 0.000 0.500



3.
A plane-wave DFT calculation with PBE was carried out for a geometry-optimized MnGeSb2I structure.

Output
Formation energy from raw total energies ... 845 meV per atom
VASP energy ... -0.285 Ry/atom
Energy above the most stable polymorph in this dataset ... 277 meV per atom
DOS at the Fermi energy ... 3.355 states/eV per cell
Magnetization ... 4.1 μB per formula unit

a = 5.395 Å, b = 5.395 Å, c = 5.640 Å
α = 90.00°, β = 90.00°, γ = 90.00°
Space group P4/mmm (No. 123)
Symmetry-distinct sites (fractional):
1 Mn 0.000 0.000 0.000
2 Ge 0.500 0.500 0.500
3 Sb 0.000 0.500 0.500
4 I 0.500 0.500 0.000



4.
A plane-wave DFT calculation with PBE was carried out for a geometry-optimized ScMnGe2I structure.

Output
Formation energy from raw total energies ... 1097 meV per atom
VASP energy ... -0.306 Ry/atom
DOS at the Fermi energy ... 5.224 states/eV per cell
Magnetization ... 3.8 μB per formula unit

a = 5.461 Å, b = 5.461 Å, c = 4.829 Å
α = 90.00°, β = 90.00°, γ = 90.00°
Space group P4/mmm (No. 123)
Symmetry-distinct sites (fractional):
1 Sc 0.000 0.000 0.000
2 Mn 0.500 0.500 0.000
3 Ge 0.000 0.500 0.500
4 I 0.500 0.500 0.500



5.
A plane-wave DFT calculation with PBE was carried out for a geometry-optimized Mn2GeSeI structure.

Output
Formation energy from raw total energies ... 1183 meV per atom
VASP energy ... -0.325 Ry/atom
DOS at the Fermi energy ... 5.032 states/eV per cell
Magnetization ... 7.3 μB per formula unit

a = 5.001 Å, b = 5.001 Å, c = 5.713 Å
α = 90.00°, β = 90.00°, γ = 90.00°
Space group P4/mmm (No. 123)
Symmetry-distinct sites (fractional):
1 Mn 0.000 0.500 0.000
2 Ge 0.000 0.000 0.500
3 Se 0.500 0.500 0.500
4 I 0.000 0.000 0.000



6.
A plane-wave DFT calculation with PBE was carried out for a geometry-optimized MnSi2GeI structure.

Output
Formation energy from raw total energies ... 1164 meV per atom
VASP energy ... -0.299 Ry/atom
DOS at the Fermi energy ... 4.201 states/eV per cell
Magnetization ... 4.2 μB per formula unit

a = 4.740 Å, b = 4.740 Å, c = 5.833 Å
α = 90.00°, β = 90.00°, γ = 90.00°
Space group P4/mmm (No. 123)
Symmetry-distinct sites (fractional):
1 Mn 0.000 0.000 0.000
2 Si 0.000 0.500 0.500
3 Ge 0.500 0.500 0.500
4 I 0.500 0.500 0.000



7.
A plane-wave DFT calculation with PBE was carried out for a geometry-optimized MnGeTeI2 structure.

Output
Formation energy from raw total energies ... 476 meV per atom
VASP energy ... -0.259 Ry/atom
Energy above the most stable polymorph in this dataset ... 157 meV per atom
DOS at the Fermi energy ... 1.291 states/eV per cell
Magnetization ... 5.5 μB per formula unit

a = 5.670 Å, b = 5.670 Å, c = 5.570 Å
α = 90.00°, β = 90.00°, γ = 90.00°
Space group P4/mmm (No. 123)
Symmetry-distinct sites (fractional):
1 Mn 0.000 0.000 0.000
2 Ge 0.500 0.500 0.500
3 Te 0.500 0.500 0.000
4 I 0.000 0.500 0.500



8.
A plane-wave DFT calculation with PBE was carried out for a geometry-optimized MnGeTeI2 structure.

Output
Formation energy from raw total energies ... 320 meV per atom
VASP energy ... -0.271 Ry/atom
Energy above the most stable polymorph in this dataset ... 0 meV per atom
DOS at the Fermi energy ... 2.244 states/eV per cell
Magnetization ... 5.0 μB per formula unit

a = 5.425 Å, b = 5.425 Å, c = 5.543 Å
α = 90.00°, β = 90.00°, γ = 90.00°
Space group P4/mmm (No. 123)
Symmetry-distinct sites (fractional):
1 Mn 0.000 0.000 0.000
2 Ge 0.500 0.500 0.500
3 Te 0.000 0.000 0.500
4 I 0.000 0.500 0.000



9.
A plane-wave DFT calculation with PBE was carried out for a geometry-optimized MnTl2GeI6 structure.

Output
Formation energy from raw total energies ... -443 meV per atom
VASP energy ... -0.237 Ry/atom
Magnetization ... 5.0 μB per formula unit

a = 8.1800 Å, b = 8.1800 Å, c = 20.3693 Å
α = 90.00°, β = 90.00°, γ = 120.00°
Space group R3 (No. 146, hexagonal axes)
Symmetry-distinct sites (fractional):
1 Mn 0.0000 0.0000 0.0000
2 Tl 0.0000 0.0000 0.2830
3 Tl 0.0000 0.0000 0.7783
4 Ge 0.0000 0.0000 0.5009
5 I 0.0052 0.4245 0.7396
6 I 0.0953 0.7512 0.5762



10.
A plane-wave DFT calculation with PBE was carried out for a geometry-optimized YMn2GeI structure.

Output
Formation energy from raw total energies ... 893 meV per atom
VASP energy ... -0.390 Ry/atom
DOS at the Fermi energy ... 5.219 states/eV per cell
Magnetization ... 6.8 μB per formula unit

a = 4.801 Å, b = 4.801 Å, c = 5.716 Å
α = 90.00°, β = 90.00°, γ = 90.00°
Space group P4/mmm (No. 123)
Symmetry-distinct sites (fractional):
1 Y 0.000 0.000 0.000
2 Mn 0.000 0.500 0.500
3 Ge 0.500 0.500 0.000
4 I 0.000 0.000 0.500



11.
A plane-wave DFT calculation with PBE was carried out for a geometry-optimized Ge2MoI structure.

Output
Formation energy from raw total energies ... 749 meV per atom
VASP energy ... -0.342 Ry/atom
Energy above the most stable polymorph in this dataset ... 0 meV per atom
DOS at the Fermi energy ... 17.122 states/eV per cell
Magnetization ... 0.0 μB per formula unit

a = 6.307 Å, b = 6.307 Å, c = 12.557 Å
α = 90.00°, β = 90.00°, γ = 90.00°
Space group I-42d (No. 122)
Symmetry-distinct sites (fractional):
1 Ge 0.156 0.250 0.125
2 Mo 0.000 0.000 0.000
3 I 0.000 0.000 0.500



12.
A plane-wave DFT calculation with PBE was carried out for a geometry-optimized GeMoI2 structure.

Output
Formation energy from raw total energies ... 893 meV per atom
VASP energy ... -0.275 Ry/atom
Energy above the most stable polymorph in this dataset ... 0 meV per atom
DOS at the Fermi energy ... 9.257 states/eV per cell
Magnetization ... 1.2 μB per formula unit

a = 7.125 Å, b = 7.125 Å, c = 7.125 Å
α = 90.00°, β = 90.00°, γ = 90.00°
Space group Fm-3m (No. 225)
Symmetry-distinct sites (fractional):
1 Ge 0.000 0.000 0.000
2 Mo 0.000 0.000 0.500
3 I 0.250 0.250 0.250